Here is crystalline Nd3Dy2TmTe2Os at its relaxed geometry from the Open Quantum Materials Database. Energies are from PBE.

a = 4.101 Å, b = 14.585 Å, c = 8.458 Å
α = 90.00°, β = 90.00°, γ = 90.00°
Space group Amm2 (No. 38)
Symmetry-distinct sites (fractional):
1 Nd 0.000 0.000 0.000
2 Nd 0.000 0.199 0.402
3 Dy 0.500 0.117 0.718
4 Tm 0.500 0.000 0.368
5 Te 0.500 0.166 0.101
6 Os 0.000 0.000 0.596

Properties
Its calculated total energy is -5.811 eV/atom. The total moment is 0.047 μB/f.u.